A | VASP calculation (PBE-GGA) on a geometry-optimized TmCu4Ni2 structure.

Results
calculated density	7.2	Mg/m³

Cell: 5.603 5.603 5.603 Å, 101.01 101.01 128.17°
Fractional coordinates of all 7 atoms:
Tm 0.000 0.000 0.000
Cu 0.728 0.500 0.228
Cu 0.500 0.728 0.228
Cu 0.500 0.272 0.772
Cu 0.272 0.500 0.772
Ni 0.250 0.750 0.500
Ni 0.750 0.250 0.500

---

B | VASP calculation (PBE-GGA) on a geometry-optimized TmCu4Ni2 structure.

Results
calculated density	9.5	Mg/m³

Cell: 4.827 5.033 5.033 Å, 76.98 61.57 61.57°
Fractional coordinates of all 7 atoms:
Tm 0.000 0.000 0.000
Cu 0.695 0.611 0.000
Cu 0.305 0.389 0.000
Cu 0.695 0.000 0.611
Cu 0.305 0.000 0.389
Ni 0.750 0.500 0.500
Ni 0.250 0.500 0.500

---

Most stable structure: B

---

A | VASP calculation (PBE-GGA) on a geometry-optimized YTmCuNi structure.

Results
calculated density	8.0	Mg/m³

Cell: 4.812 4.812 4.812 Å, 60.00 60.00 60.00°
Fractional coordinates of all 4 atoms:
Y 0.750 0.750 0.750
Ni 0.500 0.500 0.500
Tm 0.250 0.250 0.250
Cu 0.000 0.000 0.000

---

B | VASP calculation (PBE-GGA) on a geometry-optimized YTmCuNi structure.

Results
calculated density	7.7	Mg/m³

Cell: 3.682 4.372 5.407 Å, 90.00 109.90 90.00°
Fractional coordinates of all 4 atoms:
Y 0.141 0.000 0.281
Tm 0.862 0.500 0.724
Cu 0.571 0.500 0.143
Ni 0.426 0.000 0.853

---

Most stable structure: B

---

A | VASP calculation (PBE-GGA) on a geometry-optimized VCu3Ni structure.

Results
calculated density	5.7	Mg/m³

Cell: 4.444 4.444 4.444 Å, 90.00 90.00 90.00°
Site moments in Bohr magnetons follow the coordinates.
Fractional coordinates of all 5 atoms:
Ni 0.500 0.500 0.500  0.62
Cu 0.000 0.500 0.000  0.11
Cu 0.000 0.000 0.500  0.11
Cu 0.500 0.000 0.000  0.11
V 0.000 0.000 0.000  1.80

---

B | VASP calculation (PBE-GGA) on a geometry-optimized VCu3Ni structure.

Results
calculated density	6.1	Mg/m³

Cell: 4.333 4.333 4.333 Å, 90.00 90.00 90.00°
Site moments in Bohr magnetons follow the coordinates.
Fractional coordinates of all 5 atoms:
Ni 0.000 0.000 0.000  0.39
Cu 0.000 0.500 0.000  0.03
Cu 0.000 0.000 0.500  0.03
Cu 0.500 0.000 0.000  0.03
V 0.500 0.500 0.500  2.64

---

Most stable structure: B